# ZnCr3F

A geometry-optimized ZnCr3F structure (PBE with a Hubbard U, Alexandria).

Values from the calculation:
N(E_F): 0.405 states/eV per atom
Total magnetic moment: 14.368 Bohr magnetons per cell
Relative energy among the computed polymorphs: 554 meV/atom
Raw total energy: -0.166 Ha/atom

a = 4.9474 Å, b = 4.9474 Å, c = 4.9474 Å
α = 90.00°, β = 90.00°, γ = 90.00°
Last column: nearest neighbours and their distance in Å.
Space group Pm-3m (No. 221)
Inequivalent atoms, fractional coordinates:
Zn (0.0000, 0.0000, 0.0000) [1 per cell]  6 Cr 2.47
Cr (0.0000, 0.0000, 0.5000) [3 per cell]  2 Zn 2.47
F (0.5000, 0.5000, 0.5000) [1 per cell]  12 Cr 3.50